# 1
This record from Alexandria via LeMat-Bulk describes an optimized crystal structure of Ca2TlRuBr. The functional is PBE-GGA.

Unit cell a=5.3764 b=5.3764 c=5.7348 alpha=90.00 beta=90.00 gamma=90.00
Closest atoms and distances in Å follow each position.
Positions (direct):
1 Ca 0.0000 0.5000 0.0000  2 Br 2.69
2 Ca 0.5000 0.0000 0.0000  2 Br 2.69
3 Tl 0.0000 0.0000 0.5000  2 Br 2.87
4 Ru 0.5000 0.5000 0.5000  4 Tl 3.80, 8 Ca 3.93
5 Br 0.0000 0.0000 0.0000  4 Ca 2.69, 2 Tl 2.87

- Density of states at the Fermi level: 3.56 states/eV/f.u.
- Symmetry: No. 123
- Energy: -2.995 eV/atom
- Total moment: 0.35 μB per atom
- Crystal system: tetragonal

# 2
This record from Alexandria via LeMat-Bulk describes an optimized crystal structure of NaCo3Cl9. The functional is PBE-GGA.

Unit cell a=10.1720 b=10.1720 c=13.1948 alpha=126.07 beta=126.07 gamma=52.12
Closest atoms and distances in Å follow each position.
Positions (direct):
1 Na 0.2218 0.7782 0.5000  6 Cl 2.83-3.08
2 Na 0.7782 0.2218 0.0000  6 Cl 2.83-3.08
3 Co 0.0501 0.2643 0.8403  4 Cl 2.15-2.27
4 Co 0.2643 0.0501 0.3403  4 Cl 2.15-2.27
5 Co 0.2829 0.4449 0.6828  4 Cl 2.15-2.27
6 Co 0.4449 0.2829 0.1828  4 Cl 2.15-2.27
7 Co 0.6472 0.8385 0.2181  4 Cl 2.15-2.28
8 Co 0.8385 0.6472 0.7181  4 Cl 2.15-2.28
9 Cl 0.0089 0.4525 0.5873  2 Co 2.25-2.28
10 Cl 0.0899 0.2296 0.2319  1 Co 2.15
11 Cl 0.1322 0.9500 0.3435  1 Co 2.15
12 Cl 0.1844 0.4269 0.0457  2 Co 2.25-2.27
13 Cl 0.2296 0.0899 0.7319  1 Co 2.15
14 Cl 0.2729 0.6618 0.6824  1 Co 2.15
15 Cl 0.4131 0.4166 0.8740  1 Co 2.16
16 Cl 0.4166 0.4131 0.3740  1 Co 2.16
17 Cl 0.4269 0.1844 0.5457  2 Co 2.25-2.27
18 Cl 0.4525 0.0089 0.0873  2 Co 2.25-2.28
19 Cl 0.4741 0.8064 0.2494  2 Co 2.26-2.27
20 Cl 0.5790 0.7804 0.5934  1 Co 2.15
21 Cl 0.6618 0.2729 0.1824  1 Co 2.15
22 Cl 0.7804 0.5790 0.0934  1 Co 2.15
23 Cl 0.8064 0.4741 0.7494  2 Co 2.26-2.27
24 Cl 0.8275 0.9442 0.4084  1 Co 2.16
25 Cl 0.9442 0.8275 0.9084  1 Co 2.16
26 Cl 0.9500 0.1322 0.8435  1 Co 2.15

- Density of states at the Fermi level: 11.42 states/eV/f.u.
- Symmetry: No. 9
- Energy: -3.725 eV/atom
- Total moment: 0.85 μB per atom
- Crystal system: monoclinic